# 1
Entry from the Open Quantum Materials Database: a relaxed Tb2P2OsPdO2 crystal (PBE).

a b c (Å): 3.970 3.970 8.071
angles (deg): 90.00 90.00 90.00
Fractional coordinates of all 8 atoms:
Tb1 0.000 0.500 0.365
Tb2 0.500 0.000 0.635
P1 0.000 0.500 0.837
P2 0.500 0.000 0.163
Os1 0.000 0.000 0.000
O1 0.000 0.000 0.500
O2 0.500 0.500 0.500
Pd1 0.500 0.500 0.000

electronic total energy: -7.67 eV/atom

---

# 2
Entry from the Open Quantum Materials Database: a relaxed TlTePd crystal (PBE).

a b c (Å): 4.768 4.768 4.768
angles (deg): 60.00 60.00 60.00
Fractional coordinates of all 3 atoms:
Pd1 0.000 0.000 0.000
Tl1 0.750 0.750 0.750
Te1 0.250 0.250 0.250

electronic total energy: -3.77 eV/atom